[1]
A plane-wave DFT calculation with GGA-PBE was carried out for a geometry-optimized LiLa2Be3Pt4 structure.

Calculated values
N(E_F), states/eV per atom: 0.55
Energy of formation, eV per atom: -0.84
Total magnetization, Bohr magnetons per cell: 0.000
ρ, g cm⁻³: 10.7

abc: 4.0796 4.0796 10.1747
angles: 90.00 90.00 90.00
Positions (direct):
Li  0.0000  0.0000  0.0000
La  0.0000  0.5000  0.7486
La  0.5000  0.0000  0.2514
Be  0.0000  0.5000  0.3859
Be  0.5000  0.0000  0.6141
Be  0.5000  0.5000  0.0000
Pt  0.0000  0.0000  0.5000
Pt  0.0000  0.5000  0.1429
Pt  0.5000  0.0000  0.8571
Pt  0.5000  0.5000  0.5000

***

[2]
A plane-wave DFT calculation with GGA-PBE was carried out for a geometry-optimized RbSrSe2Br structure.

Calculated values
N(E_F), states/eV per atom: 0.51
E_form (uncorrected), eV per atom: -0.39
Total magnetization, Bohr magnetons per cell: 0.437
ρ, g cm⁻³: 3.5

abc: 5.6992 5.6992 6.0386
angles: 90.00 90.00 90.00
Positions (direct):
Rb  0.0000  0.0000  0.0000
Sr  0.5000  0.5000  0.5000
Se  0.0000  0.5000  0.0000
Se  0.5000  0.0000  0.0000
Br  0.0000  0.0000  0.5000

***

[3]
A plane-wave DFT calculation with GGA-PBE was carried out for a geometry-optimized ReTc structure.

Calculated values
N(E_F), states/eV per atom: 1.13
Energy of formation, eV per atom: 0.27
Total magnetization, Bohr magnetons per cell: 0.000
ρ, g cm⁻³: 15.8

abc: 4.3858 4.3858 10.7729
angles: 90.00 90.00 120.00
Positions (direct):
Re  0.0000  0.0000  0.1275
Re  0.0000  0.0000  0.8725
Re  0.3333  0.6667  0.5392
Re  0.3333  0.6667  0.7942
Re  0.6667  0.3333  0.2058
Re  0.6667  0.3333  0.4608
Tc  0.0000  0.0000  0.3708
Tc  0.0000  0.0000  0.6292
Tc  0.3333  0.6667  0.0375
Tc  0.3333  0.6667  0.2959
Tc  0.6667  0.3333  0.7041
Tc  0.6667  0.3333  0.9625